# 1
RbZr2H: relaxed, PBE-GGA.

Lattice parameters (Å, degrees): 6.633 6.633 6.635 60.01 60.01 90.00
Fractional coordinates of all 8 atoms:
Zr  0.875  0.626  0.750
Zr  0.374  0.625  0.250
Zr  0.376  0.125  0.250
Zr  0.375  0.624  0.750
H  0.500  0.500  0.000
H  0.250  0.750  0.500
Rb  0.750  0.250  0.500
Rb  0.000  0.000  0.000

## Properties
The space-group type is I-42d (122). For the density of states at the Fermi level, the calculation gives 5.658 states/eV/f.u. The calculation puts the offset from the most stable computed form at 0.0 meV/atom. The total DFT energy (no corrections) is -19.04 eV/f.u.

# 2
RbZr3H: relaxed, PBE-GGA.

Lattice parameters (Å, degrees): 5.141 5.141 5.141 90.00 90.00 90.00
Fractional coordinates of all 5 atoms:
Zr  0.000  0.500  0.000
Zr  0.000  0.000  0.500
Zr  0.500  0.000  0.000
H  0.500  0.500  0.500
Rb  0.000  0.000  0.000

## Properties
The space-group type is Pm-3m (221). For the density of states at the Fermi level, the calculation gives 7.953 states/eV/f.u. The calculation puts the offset from the most stable computed form at 2037.7 meV/atom. The total DFT energy (no corrections) is -16.28 eV/f.u.

# 3
RbZrH2: relaxed, PBE-GGA.

Lattice parameters (Å, degrees): 6.018 6.018 6.005 59.93 59.93 90.00
Fractional coordinates of all 8 atoms:
Zr  0.000  0.000  0.000
Zr  0.750  0.250  0.500
H  0.375  0.244  0.750
H  0.756  0.125  0.250
H  0.875  0.006  0.750
H  0.994  0.625  0.250
Rb  0.250  0.750  0.500
Rb  0.500  0.500  0.000

## Properties
The space-group type is I-42d (122). For the density of states at the Fermi level, the calculation gives 2.221 states/eV/f.u. The calculation puts the offset from the most stable computed form at 0.0 meV/atom. The total DFT energy (no corrections) is -15.55 eV/f.u.

# 4
RbZr3H: relaxed, PBE-GGA.

Lattice parameters (Å, degrees): 4.721 4.721 4.721 90.00 90.00 90.00
Fractional coordinates of all 5 atoms:
Rb  0.500  0.500  0.500
Zr  0.500  0.000  0.000
Zr  0.000  0.500  0.000
Zr  0.000  0.000  0.500
H  0.000  0.000  0.000

## Properties
The space-group type is Pm-3m (221). For the density of states at the Fermi level, the calculation gives 4.182 states/eV/f.u. The calculation puts the offset from the most stable computed form at 0.0 meV/atom. The total DFT energy (no corrections) is -26.47 eV/f.u.

Repeat the third record exactly.
RbZrH2: relaxed, PBE-GGA.

Lattice parameters (Å, degrees): 6.018 6.018 6.005 59.93 59.93 90.00
Fractional coordinates of all 8 atoms:
Zr  0.000  0.000  0.000
Zr  0.750  0.250  0.500
H  0.375  0.244  0.750
H  0.756  0.125  0.250
H  0.875  0.006  0.750
H  0.994  0.625  0.250
Rb  0.250  0.750  0.500
Rb  0.500  0.500  0.000

## Properties
The space-group type is I-42d (122). For the density of states at the Fermi level, the calculation gives 2.221 states/eV/f.u. The calculation puts the offset from the most stable computed form at 0.0 meV/atom. The total DFT energy (no corrections) is -15.55 eV/f.u.

- Among the records above, which one has the highest total DFT energy (no corrections)?
  RbZrH2

Please write out number 3 again, unchanged.
RbZrH2: relaxed, PBE-GGA.

Lattice parameters (Å, degrees): 6.018 6.018 6.005 59.93 59.93 90.00
Fractional coordinates of all 8 atoms:
Zr  0.000  0.000  0.000
Zr  0.750  0.250  0.500
H  0.375  0.244  0.750
H  0.756  0.125  0.250
H  0.875  0.006  0.750
H  0.994  0.625  0.250
Rb  0.250  0.750  0.500
Rb  0.500  0.500  0.000

## Properties
The space-group type is I-42d (122). For the density of states at the Fermi level, the calculation gives 2.221 states/eV/f.u. The calculation puts the offset from the most stable computed form at 0.0 meV/atom. The total DFT energy (no corrections) is -15.55 eV/f.u.